Density functional theory data (meta-GGA SCAN) for a PBEsol-optimized structure of K2S5.

Output
E_form (uncorrected) = -0.647 eV/atom

The structure in CIF format:
```
data_K2S5
_chemical_formula_sum 'K8 S20'
_cell_length_a 6.617
_cell_length_b 8.948
_cell_length_c 12.756
_cell_angle_alpha 90.00
_cell_angle_beta 90.00
_cell_angle_gamma 90.00
_symmetry_space_group_name_H-M 'P 21 21 21'
_symmetry_Int_Tables_number 19
loop_
_symmetry_equiv_pos_as_xyz
'x,y,z'
'-x+1/2,-y,z+1/2'
'x+1/2,-y+1/2,-z'
'-x,y+1/2,-z+1/2'
loop_
_atom_site_label
_atom_site_fract_x
_atom_site_fract_y
_atom_site_fract_z
_atom_site_occupancy
K1 0.082 0.084 0.141 1
K2 0.096 0.799 0.885 1
S1 0.094 0.507 0.055 1
S2 0.096 0.703 0.131 1
S3 0.123 0.488 0.780 1
S4 0.142 0.614 0.652 1
S5 0.165 0.898 0.412 1
```



Density functional theory data (meta-GGA SCAN) for a PBEsol-optimized structure of Cu2PCl.

Output
E_form (uncorrected) = -0.011 eV/atom

The structure in CIF format:
```
data_Cu2PCl
_chemical_formula_sum 'Cu2 P1 Cl1'
_cell_length_a 3.073
_cell_length_b 3.007
_cell_length_c 6.386
_cell_angle_alpha 90.00
_cell_angle_beta 90.10
_cell_angle_gamma 90.00
_symmetry_space_group_name_H-M 'P 1 2/m 1'
_symmetry_Int_Tables_number 10
loop_
_symmetry_equiv_pos_as_xyz
'x,y,z'
'-x,-y,-z'
'-x,y,-z'
'x,-y,z'
loop_
_atom_site_label
_atom_site_fract_x
_atom_site_fract_y
_atom_site_fract_z
_atom_site_occupancy
Cu1 0.003 0.000 0.199 1
P1 0.500 0.500 0.000 1
Cl1 0.000 0.500 0.500 1
```



Density functional theory data (meta-GGA SCAN) for a PBEsol-optimized structure of LaSbSe2.

Output
E_form (uncorrected) = -0.936 eV/atom

The structure in CIF format:
```
data_LaSbSe2
_chemical_formula_sum 'La1 Sb1 Se2'
_cell_length_a 3.721
_cell_length_b 3.721
_cell_length_c 7.046
_cell_angle_alpha 90.00
_cell_angle_beta 90.00
_cell_angle_gamma 90.00
_symmetry_space_group_name_H-M 'P 4/m m m'
_symmetry_Int_Tables_number 123
_symmetry_space_group_name_Hall '-P 4 2'
loop_
_atom_site_label
_atom_site_fract_x
_atom_site_fract_y
_atom_site_fract_z
_atom_site_occupancy
La1 0.000 0.000 0.000 1
Sb1 0.000 0.000 0.500 1
Se1 0.500 0.500 0.228 1
```



Density functional theory data (meta-GGA SCAN) for a PBEsol-optimized structure of LaMg2Au.

Output
DFT formation energy = -2.20 eV per formula unit

The structure in CIF format:
```
data_LaMg2Au
_chemical_formula_sum 'La4 Mg8 Au4'
_cell_length_a 7.158
_cell_length_b 7.158
_cell_length_c 7.158
_cell_angle_alpha 90.00
_cell_angle_beta 90.00
_cell_angle_gamma 90.00
_symmetry_space_group_name_H-M 'F -4 3 m'
_symmetry_Int_Tables_number 216
_symmetry_space_group_name_Hall 'F -4 2 3'
loop_
_atom_site_label
_atom_site_fract_x
_atom_site_fract_y
_atom_site_fract_z
_atom_site_occupancy
La1 0.000 0.000 0.000 1
Mg1 0.000 0.000 0.500 1
Mg2 0.250 0.250 0.250 1
Au1 0.250 0.250 0.750 1
```



Density functional theory data (meta-GGA SCAN) for a PBEsol-optimized structure of YSb2Ir.

Output
E_form (uncorrected) = -0.682 eV/atom

The structure in CIF format:
```
data_YSb2Ir
_chemical_formula_sum 'Y2 Sb4 Ir2'
_cell_length_a 5.806
_cell_length_b 7.626
_cell_length_c 4.246
_cell_angle_alpha 90.00
_cell_angle_beta 90.00
_cell_angle_gamma 90.00
_symmetry_space_group_name_H-M 'C m m m'
_symmetry_Int_Tables_number 65
_symmetry_space_group_name_Hall '-C 2 2'
loop_
_atom_site_label
_atom_site_fract_x
_atom_site_fract_y
_atom_site_fract_z
_atom_site_occupancy
Y1 0.000 0.000 0.000 1
Sb1 0.000 0.297 0.500 1
Ir1 0.000 0.500 0.000 1
```



Density functional theory data (meta-GGA SCAN) for a PBEsol-optimized structure of BeCuAs.

Output
DFT formation energy = 0.77 eV per formula unit

The structure in CIF format:
```
data_BeCuAs
_chemical_formula_sum 'Be2 Cu2 As2'
_cell_length_a 2.671
_cell_length_b 2.671
_cell_length_c 10.855
_cell_angle_alpha 90.00
_cell_angle_beta 90.00
_cell_angle_gamma 90.00
_symmetry_space_group_name_H-M 'I 4 m m'
_symmetry_Int_Tables_number 107
_symmetry_space_group_name_Hall 'I 4 -2'
loop_
_atom_site_label
_atom_site_fract_x
_atom_site_fract_y
_atom_site_fract_z
_atom_site_occupancy
Be1 0.000 0.000 0.000 1
Cu1 0.000 0.000 0.623 1
As1 0.000 0.000 0.321 1
```



Density functional theory data (meta-GGA SCAN) for a PBEsol-optimized structure of Ca4Ni3C5.

Output
DFT formation energy = -2.92 eV per formula unit

The structure in CIF format:
```
data_Ca4Ni3C5
_chemical_formula_sum 'Ca8 Ni6 C10'
_cell_length_a 11.008
_cell_length_b 3.712
_cell_length_c 9.676
_cell_angle_alpha 90.00
_cell_angle_beta 113.10
_cell_angle_gamma 90.00
_symmetry_space_group_name_H-M 'C 1 2/m 1'
_symmetry_Int_Tables_number 12
loop_
_symmetry_equiv_pos_as_xyz
'x,y,z'
'-x,-y,-z'
'-x,y,-z'
'x,-y,z'
'x+1/2,y+1/2,z'
'-x+1/2,-y+1/2,-z'
'-x+1/2,y+1/2,-z'
'x+1/2,-y+1/2,z'
loop_
_atom_site_label
_atom_site_fract_x
_atom_site_fract_y
_atom_site_fract_z
_atom_site_occupancy
Ca1 0.101 0.000 0.399 1
Ca2 0.245 0.500 0.164 1
Ni1 0.000 0.000 0.000 1
Ni2 0.041 0.500 0.836 1
C1 0.000 0.500 0.000 1
C2 0.101 0.500 0.689 1
C3 0.173 0.500 0.610 1
```



Density functional theory data (meta-GGA SCAN) for a PBEsol-optimized structure of Zn4SiSe.

Output
E_form (uncorrected) = 0.388 eV/atom

The structure in CIF format:
```
data_Zn4SiSe
_chemical_formula_sum 'Zn16 Si4 Se4'
_cell_length_a 7.278
_cell_length_b 7.278
_cell_length_c 7.278
_cell_angle_alpha 90.00
_cell_angle_beta 90.00
_cell_angle_gamma 90.00
_symmetry_space_group_name_H-M 'F -4 3 m'
_symmetry_Int_Tables_number 216
_symmetry_space_group_name_Hall 'F -4 2 3'
loop_
_atom_site_label
_atom_site_fract_x
_atom_site_fract_y
_atom_site_fract_z
_atom_site_occupancy
Zn1 0.125 0.125 0.125 1
Si1 0.000 0.000 0.500 1
Se1 0.250 0.250 0.750 1
```



Density functional theory data (meta-GGA SCAN) for a PBEsol-optimized structure of Li2ZrHg.

Output
DFT formation energy = -0.11 eV per formula unit

The structure in CIF format:
```
data_Li2ZrHg
_chemical_formula_sum 'Li4 Zr2 Hg2'
_cell_length_a 3.639
_cell_length_b 4.562
_cell_length_c 9.137
_cell_angle_alpha 90.00
_cell_angle_beta 90.00
_cell_angle_gamma 90.00
_symmetry_space_group_name_H-M 'C m m m'
_symmetry_Int_Tables_number 65
_symmetry_space_group_name_Hall '-C 2 2'
loop_
_atom_site_label
_atom_site_fract_x
_atom_site_fract_y
_atom_site_fract_z
_atom_site_occupancy
Li1 0.000 0.000 0.225 1
Zr1 0.000 0.500 0.500 1
Hg1 0.000 0.500 0.000 1
```



Density functional theory data (meta-GGA SCAN) for a PBEsol-optimized structure of Pt3Au.

Output
DFT formation energy = 0.54 eV per formula unit

The structure in CIF format:
```
data_Pt3Au
_chemical_formula_sum 'Pt6 Au2'
_cell_length_a 2.753
_cell_length_b 9.384
_cell_length_c 4.804
_cell_angle_alpha 90.00
_cell_angle_beta 90.00
_cell_angle_gamma 90.00
_symmetry_space_group_name_H-M 'I m m 2'
_symmetry_Int_Tables_number 44
loop_
_symmetry_equiv_pos_as_xyz
'x,y,z'
'-x,-y,z'
'-x,y,z'
'x,-y,z'
'x+1/2,y+1/2,z+1/2'
'-x+1/2,-y+1/2,z+1/2'
'-x+1/2,y+1/2,z+1/2'
'x+1/2,-y+1/2,z+1/2'
loop_
_atom_site_label
_atom_site_fract_x
_atom_site_fract_y
_atom_site_fract_z
_atom_site_occupancy
Pt1 0.000 0.000 0.000 1
Pt2 0.000 0.253 0.682 1
Au1 0.000 0.500 0.003 1
```



Density functional theory data (meta-GGA SCAN) for a PBEsol-optimized structure of KFeIr2.

Output
DFT formation energy = 2.82 eV per formula unit

The structure in CIF format:
```
data_KFeIr2
_chemical_formula_sum 'K2 Fe2 Ir4'
_cell_length_a 2.738
_cell_length_b 4.664
_cell_length_c 10.102
_cell_angle_alpha 90.00
_cell_angle_beta 90.00
_cell_angle_gamma 90.00
_symmetry_space_group_name_H-M 'C m m 2'
_symmetry_Int_Tables_number 35
loop_
_symmetry_equiv_pos_as_xyz
'x,y,z'
'-x,-y,z'
'-x,y,z'
'x,-y,z'
'x+1/2,y+1/2,z'
'-x+1/2,-y+1/2,z'
'-x+1/2,y+1/2,z'
'x+1/2,-y+1/2,z'
loop_
_atom_site_label
_atom_site_fract_x
_atom_site_fract_y
_atom_site_fract_z
_atom_site_occupancy
K1 0.000 0.000 0.000 1
Fe1 0.000 0.500 0.290 1
Ir1 0.000 0.000 0.495 1
Ir2 0.000 0.500 0.727 1
```



Density functional theory data (meta-GGA SCAN) for a PBEsol-optimized structure of CrHgRu2.

Output
DFT formation energy = 1.67 eV per formula unit

The structure in CIF format:
```
data_CrHgRu2
_chemical_formula_sum 'Cr2 Hg2 Ru4'
_cell_length_a 3.851
_cell_length_b 3.851
_cell_length_c 7.756
_cell_angle_alpha 90.00
_cell_angle_beta 90.00
_cell_angle_gamma 90.00
_symmetry_space_group_name_H-M 'I 4/m m m'
_symmetry_Int_Tables_number 139
_symmetry_space_group_name_Hall '-I 4 2'
loop_
_atom_site_label
_atom_site_fract_x
_atom_site_fract_y
_atom_site_fract_z
_atom_site_occupancy
Cr1 0.000 0.000 0.000 1
Hg1 0.000 0.000 0.500 1
Ru1 0.000 0.500 0.250 1
```



| no. | volume (Å³ per atom) | total magnetization (μB per atom) |
| --- | --- | --- |
| 1 | 27.0 | 0.000 |
| 2 | 14.8 | 0.000 |
| 3 | 24.4 | 0.000 |
| 4 | 22.9 | 0.000 |
| 5 | 23.5 | 0.000 |
| 6 | 12.9 | 0.000 |
| 7 | 15.2 | 0.000 |
| 8 | 16.1 | 0.000 |
| 9 | 19.0 | 0.000 |
| 10 | 15.5 | 0.021 |
| 11 | 16.1 | 0.800 |
| 12 | 14.4 | 0.141 |